A plane-wave DFT calculation with GGA-PBE was carried out for a geometry-optimized NdIrCl structure.

Results
Its formation energy from raw total energies is -1163 meV per atom.

abc: 4.2078 4.8451 7.5080
angles: 90.00 106.27 90.00
Positions (direct):
Ir 0.4825 0.7500 0.9651
Ir 0.5175 0.2500 0.0349
Nd 0.1148 0.7500 0.2296
Nd 0.8852 0.2500 0.7704
Cl 0.2296 0.2500 0.4592
Cl 0.7704 0.7500 0.5408


A plane-wave DFT calculation with GGA-PBE was carried out for a geometry-optimized KLaGe2Br8 structure.

Results
Its formation energy from raw total energies is -1205 meV per atom.

abc: 7.3159 6.7695 9.3509
angles: 87.83 86.20 86.08
Positions (direct):
Br 0.8543 0.2697 0.2285
Br 0.1457 0.7303 0.7715
Br 0.1842 0.7652 0.2236
Br 0.6377 0.7292 0.4513
Br 0.8158 0.2348 0.7764
Br 0.3623 0.2708 0.5487
Br 0.6710 0.7529 0.0343
Br 0.3290 0.2471 0.9657
K 0.0000 0.0000 0.5000
La 0.0000 0.0000 0.0000
Ge 0.5407 0.5389 0.2519
Ge 0.4593 0.4611 0.7481


A plane-wave DFT calculation with GGA-PBE was carried out for a geometry-optimized RbInGeI4 structure.

Results
Its formation energy from raw total energies is -647 meV per atom.

abc: 8.1506 7.9112 10.4028
angles: 90.00 106.96 90.00
Positions (direct):
I 0.9786 0.5038 0.7566
I 0.0214 0.4962 0.2434
I 0.3989 0.7500 0.0810
I 0.9786 0.9962 0.7566
I 0.5759 0.2500 0.3727
I 0.0214 0.0038 0.2434
I 0.6011 0.2500 0.9190
I 0.4241 0.7500 0.6273
Ge 0.7392 0.2500 0.6945
Ge 0.2608 0.7500 0.3055
Rb 0.7532 0.7500 0.4285
Rb 0.2468 0.2500 0.5715
In 0.7086 0.7500 0.9159
In 0.2914 0.2500 0.0841


A plane-wave DFT calculation with GGA-PBE was carried out for a geometry-optimized RbAsPd structure.

Results
Its energy is -0.1442 Ha/atom.

abc: 5.6150 4.2363 4.2363
angles: 120.00 90.00 90.00
Positions (direct):
Pd 0.1668 0.6667 0.3333
Rb 0.6666 0.3333 0.6667
As 0.1666 0.0000 0.0000


Number 1: calculated density 8.41 g cm⁻³, N(E_F) 0.612 states/eV/f.u., spin magnetization 0.0 μB/f.u.. Number 2: calculated density 3.47 g cm⁻³, N(E_F) 0.000 states/eV/f.u., spin magnetization 0.0 μB/f.u.. Number 3: calculated density 4.04 g cm⁻³, N(E_F) 0.000 states/eV/f.u., spin magnetization 0.0 μB/f.u.. Number 4: calculated density 5.08 g cm⁻³, N(E_F) 3.451 states/eV/f.u., spin magnetization 0.2 μB/f.u..